## NdInGaSn (PBE-GGA)

Data for crystalline NdInGaSn at its relaxed geometry.

```
NdInGaSn
1.0
4.468 0.000 0.000
0.000 4.604 0.000
0.000 0.000 4.833
Nd In Ga Sn
1 1 1 1
Direct
0.000 0.000 0.000
0.000 0.500 0.500
0.500 0.500 0.000
0.500 0.000 0.500
```

**Total DFT energy (no corrections)**: -4.136 eV per atom